No. 1
VASP calculation (PBE) on a geometry-optimized Mg2SbPb structure.

Structure (POSCAR):
```
Mg2SbPb
1.0
3.354 0.000 0.000
0.000 3.354 0.000
0.000 0.000 9.345
Mg Sb Pb
2 1 1
Cartesian
0.000 0.000 0.000
1.677 1.677 2.182
1.677 1.677 7.298
0.000 0.000 4.484
```

E above lowest polymorph: 133.5 meV/atom
calculated total energy: -2.75 eV per atom
total magnetic moment: 0.00 μB per formula unit



No. 2
VASP calculation (PBE) on a geometry-optimized TlFeRu2 structure.

Structure (POSCAR):
```
TlFeRu2
1.0
3.039 0.000 0.000
0.000 4.468 0.000
0.000 0.000 4.659
Tl Fe Ru
1 1 2
Cartesian
0.000 0.000 0.000
1.520 0.000 2.330
0.000 2.234 2.330
1.520 2.234 0.000
```

E above lowest polymorph: 244.6 meV/atom
calculated total energy: -6.70 eV per atom
energy of formation: 0.6483 eV per atom
total magnetic moment: 4.16 μB per formula unit



No. 3
VASP calculation (PBE) on a geometry-optimized Li3PmPd4 structure.

Structure (POSCAR):
```
Li3PmPd4
1.0
4.292 0.000 0.000
0.000 4.292 0.000
0.000 0.000 6.969
Li Pm Pd
3 1 4
Cartesian
0.000 0.000 0.000
0.000 0.000 3.484
2.146 2.146 0.000
2.146 2.146 3.484
0.000 2.146 1.537
0.000 2.146 5.432
2.146 0.000 1.537
2.146 0.000 5.432
```

calculated total energy: -4.46 eV per atom
energy of formation: -0.5476 eV per atom
total magnetic moment: 0.00 μB per formula unit



No. 4
VASP calculation (PBE) on a geometry-optimized PmDy2Y6 structure.

Structure (POSCAR):
```
PmDy2Y6
1.0
10.717 0.000 0.000
0.000 10.717 0.000
0.000 0.000 5.058
Pm Dy Y
2 4 12
Cartesian
0.000 0.000 0.000
5.359 5.359 2.529
1.787 1.787 2.529
3.572 7.145 0.000
7.145 3.572 0.000
8.931 8.931 2.529
10.716 3.570 0.000
0.001 7.148 0.000
1.789 5.358 2.529
1.790 8.927 2.529
3.570 10.716 0.000
3.569 3.569 0.000
5.358 1.789 2.529
5.359 8.928 2.529
7.148 0.001 0.000
7.148 7.148 0.000
8.927 1.790 2.529
8.928 5.359 2.529
```

E above lowest polymorph: 0.0 meV/atom
calculated total energy: -5.84 eV per atom
energy of formation: 0.0214 eV per atom
total magnetic moment: 0.00 μB per formula unit